# 1
Density functional theory data (PBE) for a relaxed AcNdO crystal.

As for the energy relative to the elements, uncorrected: -1.59 eV per atom.

The space group is P3m1 (No. 156) and the conventional cell measures 3.8313, 3.8313 and 6.3265 Å, with angles of 90.00, 90.00 and 120.00 degrees. Symmetry generates all atoms from Ac at (0.0000, 0.0000, 0.0000), Nd at (0.6667, 0.3333, 0.5498) and O at (0.3333, 0.6667, 0.7529).


# 2
Density functional theory data (PBE) for a relaxed Ac2NdO4 crystal.

As for the energy relative to the elements, uncorrected: -2.81 eV per atom.

The space group is I4/mmm (No. 139) and the conventional cell measures 4.559, 4.559 and 13.293 Å, with angles of 90.00, 90.00 and 90.00 degrees. Symmetry generates all atoms from Ac at (0.000, 0.000, 0.150), Nd at (0.000, 0.000, 0.500), O at (0.000, 0.000, 0.320) and O at (0.000, 0.500, 0.000).


# 3
Density functional theory data (PBE) for a relaxed Ac2NdOsO8 crystal.

As for the energy relative to the elements, uncorrected: -2.39 eV per atom.

The space group is P2/m (No. 10) and the conventional cell measures 5.264, 7.223 and 5.442 Å, with angles of 90.00, 90.55 and 90.00 degrees. Symmetry generates all atoms from Ac at (0.000, 0.244, 0.000), Nd at (0.500, 0.500, 0.500), Os at (0.500, 0.000, 0.500), O at (0.188, 0.500, 0.201), O at (0.240, 0.000, 0.269) and O at (0.335, 0.201, 0.677).


# 4
Density functional theory data (PBE) for a relaxed AcNdOsO6 crystal.

As for the energy relative to the elements, uncorrected: -2.31 eV per atom.

The space group is P-31c (No. 163) and the conventional cell measures 5.7321, 5.7321 and 10.2674 Å, with angles of 90.00, 90.00 and 120.00 degrees. Symmetry generates all atoms from Ac at (0.0000, 0.0000, 0.0000), Nd at (0.3333, 0.6667, 0.2500), Os at (0.3333, 0.6667, 0.7500) and O at (0.0535, 0.3865, 0.6417).


# 5
Density functional theory data (PBE) for a relaxed AcNd2PO8 crystal.

As for the energy relative to the elements, uncorrected: -2.50 eV per atom.

The space group is P-3m1 (No. 164) and the conventional cell measures 5.2001, 5.2001 and 6.8859 Å, with angles of 90.00, 90.00 and 120.00 degrees. Symmetry generates all atoms from Ac at (0.0000, 0.0000, 0.0000), Nd at (0.3333, 0.6667, 0.3667), P at (0.0000, 0.0000, 0.5000), O at (0.1534, 0.3068, 0.6461) and O at (0.3333, 0.6667, 0.0482).


# 6
Density functional theory data (PBE) for a relaxed Ac2NdPO8 crystal.

As for the energy relative to the elements, uncorrected: -2.42 eV per atom.

The space group is P-3m1 (No. 164) and the conventional cell measures 5.4891, 5.4891 and 6.3994 Å, with angles of 90.00, 90.00 and 120.00 degrees. Symmetry generates all atoms from Ac at (0.3333, 0.6667, 0.3582), Nd at (0.0000, 0.0000, 0.0000), P at (0.0000, 0.0000, 0.5000), O at (0.1466, 0.2932, 0.6606) and O at (0.3333, 0.6667, 0.0144).


# 7
Density functional theory data (PBE) for a relaxed AcNdPa2O8 crystal.

As for the energy relative to the elements, uncorrected: -3.62 eV per atom.

The space group is I-4m2 (No. 119) and the conventional cell measures 5.608, 5.608 and 10.970 Å, with angles of 90.00, 90.00 and 90.00 degrees. Symmetry generates all atoms from Ac at (0.000, 0.000, 0.000), Nd at (0.000, 0.500, 0.750), Pa at (0.000, 0.000, 0.500), Pa at (0.000, 0.500, 0.250) and O at (0.225, 0.245, 0.373).


# 8
Density functional theory data (PBE) for a relaxed Ac2NdPbO6 crystal.

As for the energy relative to the elements, uncorrected: -2.68 eV per atom.

The space group is R3 (No. 146, hexagonal axes) and the conventional cell measures 6.3080, 6.3080 and 15.8867 Å, with angles of 90.00, 90.00 and 120.00 degrees. Symmetry generates all atoms from Ac at (0.0000, 0.0000, 0.0000), Ac at (0.0000, 0.0000, 0.4986), Nd at (0.0000, 0.0000, 0.7243), Pb at (0.0000, 0.0000, 0.2228), O at (0.0612, 0.6956, 0.7831) and O at (0.0633, 0.3754, 0.2842).